! TaSbSeN2, PBEsol geometry, DFT meta-GGA SCAN; values from VASP
! Calculated volume in Å³ per atom: 16.33
! Space group: P4/mmm (123)
! Density of states at the Fermi level in states/eV/f.u.: 3.23
! Formation energy without anion corrections in eV per atom: 1.55
&SYSTEM
  ibrav = 0, nat = 5, ntyp = 4
/
ATOMIC_SPECIES
Sb 121.76 Sb.upf
N 14.01 N.upf
Se 78.96 Se.upf
Ta 180.95 Ta.upf
CELL_PARAMETERS angstrom
-2.193 1.358 -3.046
2.076 -2.297 -2.519
-3.351 -3.811 0.713
ATOMIC_POSITIONS crystal
Sb 0.000 0.000 0.000
N 0.000 0.500 0.000
N 0.500 0.000 0.000
Se 0.000 0.000 0.500
Ta 0.500 0.500 0.500



! MnNiP2, PBEsol geometry, DFT meta-GGA SCAN; values from VASP
! Calculated volume in Å³ per atom: 11.18
! Space group: P4mm (99)
! Density of states at the Fermi level in states/eV/f.u.: 0.55
! Calculated formation energy in eV per atom: -0.39
&SYSTEM
  ibrav = 0, nat = 4, ntyp = 3
/
ATOMIC_SPECIES
Mn 54.94 Mn.upf
Ni 58.69 Ni.upf
P 30.97 P.upf
CELL_PARAMETERS angstrom
-0.238 2.036 2.360
-2.808 0.887 -1.048
-1.980 -3.220 2.579
ATOMIC_POSITIONS crystal
Mn 0.000 0.000 0.455
Ni 0.500 0.500 0.802
P 0.000 0.000 0.948
P 0.500 0.500 0.295



! TcMoRh2, PBEsol geometry, DFT meta-GGA SCAN; values from VASP
! Calculated volume in Å³ per atom: 13.90
! ΔE to the lowest computed polymorph in meV per atom: 87.0
! Space group: Cmmm (65)
! Density of states at the Fermi level in states/eV/f.u.: 3.44
! Calculated formation energy in eV per atom: -0.15
&SYSTEM
  ibrav = 0, nat = 4, ntyp = 3
/
ATOMIC_SPECIES
Mo 95.94 Mo.upf
Rh 102.91 Rh.upf
Tc 98.00 Tc.upf
CELL_PARAMETERS angstrom
-1.389 0.617 -2.208
2.304 -3.346 -2.384
-3.906 -1.746 1.970
ATOMIC_POSITIONS crystal
Mo 0.500 0.500 0.500
Rh 0.000 0.500 0.000
Rh 0.000 0.000 0.500
Tc 0.500 0.000 0.000



! V3AuC, PBEsol geometry, DFT meta-GGA SCAN; values from VASP
! Calculated volume in Å³ per atom: 12.37
! Space group: Pm-3m (221)
! Density of states at the Fermi level in states/eV/f.u.: 3.19
! Calculated formation energy in eV per atom: -0.39
&SYSTEM
  ibrav = 0, nat = 5, ntyp = 3
/
ATOMIC_SPECIES
C 12.01 C.upf
Au 196.97 Au.upf
V 50.94 V.upf
CELL_PARAMETERS angstrom
3.955 0.000 0.000
0.000 3.955 0.000
0.000 0.000 3.955
ATOMIC_POSITIONS crystal
C 0.000 0.000 0.000
Au 0.500 0.500 0.500
V 0.000 0.500 0.000
V 0.000 0.000 0.500
V 0.500 0.000 0.000



! ThB2C, PBEsol geometry, DFT meta-GGA SCAN; values from VASP
! Calculated volume in Å³ per atom: 12.11
! Space group: R-3m (166)
! Density of states at the Fermi level in states/eV/f.u.: 0.55
! Calculated formation energy in eV per atom: -0.55
&SYSTEM
  ibrav = 0, nat = 12, ntyp = 3
/
ATOMIC_SPECIES
C 12.01 C.upf
B 10.81 B.upf
Th 232.04 Th.upf
CELL_PARAMETERS angstrom
5.396 -0.007 -0.005
1.300 5.237 -0.005
1.300 1.016 5.138
ATOMIC_POSITIONS crystal
C 0.000 0.000 0.500
C 0.000 0.500 0.000
C 0.500 0.000 0.000
B 0.500 0.775 0.225
B 0.225 0.500 0.775
B 0.775 0.225 0.500
B 0.500 0.225 0.775
B 0.225 0.775 0.500
B 0.775 0.500 0.225
Th 0.685 0.685 0.685
Th 0.315 0.315 0.315
Th 0.000 0.000 0.000



! CaFeC3, PBEsol geometry, DFT meta-GGA SCAN; values from VASP
! Calculated volume in Å³ per atom: 10.80
! ΔE to the lowest computed polymorph in meV per atom: 0.0
! Space group: Pm-3m (221)
! Density of states at the Fermi level in states/eV/f.u.: 2.77
! Calculated formation energy in eV per atom: 1.28
&SYSTEM
  ibrav = 0, nat = 5, ntyp = 3
/
ATOMIC_SPECIES
C 12.01 C.upf
Ca 40.08 Ca.upf
Fe 55.84 Fe.upf
CELL_PARAMETERS angstrom
-1.523 3.246 -1.197
-3.134 -1.848 -1.026
-1.467 0.579 3.436
ATOMIC_POSITIONS crystal
C 0.000 0.500 0.000
C 0.000 0.000 0.500
C 0.500 0.000 0.000
Ca 0.500 0.500 0.500
Fe 0.000 0.000 0.000